DFT (PBE+U) results for RbCoAsO4 after structural relaxation.

Output
Total energy (Ry/atom): -0.4213

```
14
Lattice="0.909 -0.403 -5.279 -0.814 -5.652 0.291 -8.740 1.433 3.389" Properties=species:S:1:pos:R:3 pbc="T T T"
Rb -7.446 -3.276 -0.189
Rb -1.198 -1.346 -1.410
Co -4.060 -3.884 -2.526
Co -4.585 -0.738 0.927
As -3.343 -3.829 0.545
As -5.302 -0.793 -2.144
O -6.075 -1.788 2.069
O -2.942 -5.420 -3.535
O -2.570 -2.834 -3.668
O -5.703 0.797 1.936
O -1.818 -4.083 -0.128
O -6.827 -0.539 -1.471
O -4.586 -3.711 -0.648
O -4.059 -0.911 -0.951
```